[1]
TaZnAs3 meta-GGA SCAN PBEsol geometry; Fermi-level density of states = 4.31 states/eV/f.u.; ΔE_f = 561.8 kJ/mol of formula units; VASP energy = -26.97 eV/atom
1.0
4.6322 0.0000 0.0000
0.0000 4.6322 0.0000
0.0000 0.0000 4.6322
Ta Zn As
1 1 3
direct
0.0000 0.0000 0.0000
0.5000 0.5000 0.5000
0.0000 0.5000 0.5000
0.5000 0.0000 0.5000
0.5000 0.5000 0.0000



[2]
ZrTaAs2 meta-GGA SCAN PBEsol geometry; Fermi-level density of states = 2.06 states/eV/f.u.; ΔE_f = -215.6 kJ/mol of formula units; VASP energy = -34.97 eV/atom
1.0
4.5954 0.0000 0.0000
0.0000 4.5954 0.0000
0.0000 0.0000 3.2350
Zr Ta As
1 1 2
direct
0.0000 0.0000 0.0000
0.5000 0.5000 0.0000
0.0000 0.5000 0.5000
0.5000 0.0000 0.5000